A plane-wave DFT calculation with PBE was carried out for a relaxed LiCdHg2 crystal.

Cell lengths 7.878, 7.878, 6.135 Å; angles 90.00, 90.00, 90.00 degrees
Space group I-42d (No. 122)
Symmetry-distinct sites (fractional):
Li (0.000, 0.000, 0.000) (multiplicity 4)
Cd (0.000, 0.000, 0.500) (multiplicity 4)
Hg (0.226, 0.750, 0.125) (multiplicity 8)

## Properties
- energy of formation (eV/atom) = -0.09
- magnetization (μB per atom) = 0.00

=====

A plane-wave DFT calculation with PBE was carried out for a relaxed LiCd2Hg crystal.

Cell lengths 3.412, 3.816, 6.373 Å; angles 90.00, 90.00, 90.00 degrees
Space group Pmmm (No. 47)
Symmetry-distinct sites (fractional):
Li (0.000, 0.000, 0.000) (multiplicity 1)
Cd (0.500, 0.500, 0.231) (multiplicity 2)
Hg (0.000, 0.000, 0.500) (multiplicity 1)

## Properties
- energy of formation (eV/atom) = -0.16
- magnetization (μB per atom) = 0.00

=====

A plane-wave DFT calculation with PBE was carried out for a relaxed LiCd2Hg crystal.

Cell lengths 6.233, 6.461, 8.285 Å; angles 90.00, 90.00, 90.00 degrees
Space group Fmmm (No. 69)
Symmetry-distinct sites (fractional):
Li (0.000, 0.000, 0.000) (multiplicity 4)
Cd (0.250, 0.250, 0.250) (multiplicity 8)
Hg (0.000, 0.000, 0.500) (multiplicity 4)

## Properties
- energy of formation (eV/atom) = -0.17
- magnetization (μB per atom) = 0.00

=====

A plane-wave DFT calculation with PBE was carried out for a relaxed Li3Cd4Hg8 crystal.

Cell lengths 12.076, 10.840, 6.081 Å; angles 90.00, 115.10, 90.00 degrees
Space group C2/m (No. 12)
Symmetry-distinct sites (fractional):
Li (0.000, 0.000, 0.000) (multiplicity 2)
Li (0.250, 0.250, 0.000) (multiplicity 4)
Cd (0.000, 0.500, 0.000) (multiplicity 2)
Cd (0.000, 0.500, 0.500) (multiplicity 2)
Cd (0.250, 0.250, 0.500) (multiplicity 4)
Hg (0.000, 0.201, 0.500) (multiplicity 4)
Hg (0.000, 0.241, 0.000) (multiplicity 4)
Hg (0.206, 0.000, 0.728) (multiplicity 4)
Hg (0.242, 0.000, 0.246) (multiplicity 4)

## Properties
- energy of formation (eV/atom) = -0.09
- magnetization (μB per atom) = 0.00

=====

A plane-wave DFT calculation with PBE was carried out for a relaxed Li2CdHg crystal.

Cell lengths 9.418, 3.102, 5.618 Å; angles 90.00, 99.73, 90.00 degrees
Space group C2/m (No. 12)
Symmetry-distinct sites (fractional):
Li (0.248, 0.000, 0.244) (multiplicity 4)
Cd (0.000, 0.000, 0.500) (multiplicity 2)
Hg (0.000, 0.500, 0.000) (multiplicity 2)

## Properties
- ΔE to the lowest computed polymorph (eV/atom) = 0.115
- energy of formation (eV/atom) = -0.20
- magnetization (μB per atom) = 0.00

=====

A plane-wave DFT calculation with PBE was carried out for a relaxed Li2Cd4Hg crystal.

Cell lengths 5.142, 11.682, 5.105 Å; angles 90.00, 103.14, 90.00 degrees
Space group P2_1/c (No. 14)
Symmetry-distinct sites (fractional):
Li (0.061, 0.058, 0.270) (multiplicity 4)
Cd (0.138, 0.186, 0.796) (multiplicity 4)
Cd (0.397, 0.654, 0.011) (multiplicity 4)
Hg (0.500, 0.000, 0.000) (multiplicity 2)

## Properties
- ΔE to the lowest computed polymorph (eV/atom) = 0.000
- energy of formation (eV/atom) = -0.14
- magnetization (μB per atom) = 0.00

=====

A plane-wave DFT calculation with PBE was carried out for a relaxed LiCd5Hg crystal.

Cell lengths 7.279, 10.371, 5.803 Å; angles 90.00, 90.00, 90.00 degrees
Space group Imm2 (No. 44)
Symmetry-distinct sites (fractional):
Li (0.000, 0.000, 0.000) (multiplicity 2)
Cd (0.000, 0.000, 0.560) (multiplicity 2)
Cd (0.000, 0.231, 0.246) (multiplicity 4)
Cd (0.189, 0.500, 0.751) (multiplicity 4)
Hg (0.000, 0.500, 0.256) (multiplicity 2)

## Properties
- ΔE to the lowest computed polymorph (eV/atom) = 0.229
- energy of formation (eV/atom) = 0.20
- magnetization (μB per atom) = 0.00

=====

A plane-wave DFT calculation with PBE was carried out for a relaxed LiCdHg2 crystal.

Cell lengths 9.788, 3.298, 5.565 Å; angles 90.00, 102.23, 90.00 degrees
Space group C2/m (No. 12)
Symmetry-distinct sites (fractional):
Li (0.000, 0.000, 0.000) (multiplicity 2)
Cd (0.000, 0.500, 0.500) (multiplicity 2)
Hg (0.239, 0.500, 0.234) (multiplicity 4)

## Properties
- energy of formation (eV/atom) = -0.16
- magnetization (μB per atom) = 0.00

=====

A plane-wave DFT calculation with PBE was carried out for a relaxed Li3CdHg2 crystal.

Cell lengths 4.656, 13.891, 3.405 Å; angles 90.00, 90.00, 90.00 degrees
Space group Cmmm (No. 65)
Symmetry-distinct sites (fractional):
Li (0.000, 0.000, 0.000) (multiplicity 2)
Li (0.000, 0.328, 0.000) (multiplicity 4)
Cd (0.000, 0.500, 0.500) (multiplicity 2)
Hg (0.000, 0.162, 0.500) (multiplicity 4)

## Properties
- energy of formation (eV/atom) = -0.34
- magnetization (μB per atom) = 0.00

=====

A plane-wave DFT calculation with PBE was carried out for a relaxed LiCd2Hg crystal.

Cell lengths 6.472, 6.600, 7.796 Å; angles 90.00, 90.00, 90.00 degrees
Space group F222 (No. 22)
Symmetry-distinct sites (fractional):
Li (0.000, 0.000, 0.000) (multiplicity 4)
Cd (0.000, 0.000, 0.500) (multiplicity 4)
Cd (0.250, 0.250, 0.750) (multiplicity 4)
Hg (0.250, 0.250, 0.250) (multiplicity 4)

## Properties
- energy of formation (eV/atom) = -0.18
- magnetization (μB per atom) = 0.00

=====

A plane-wave DFT calculation with PBE was carried out for a relaxed Li4CdHg10 crystal.

Cell lengths 10.640, 10.640, 6.467 Å; angles 90.00, 90.00, 90.00 degrees
Space group I4/m (No. 87)
Symmetry-distinct sites (fractional):
Li (0.095, 0.700, 0.000) (multiplicity 8)
Cd (0.000, 0.000, 0.500) (multiplicity 2)
Hg (0.000, 0.500, 0.250) (multiplicity 4)
Hg (0.106, 0.211, 0.243) (multiplicity 16)

## Properties
- energy of formation (eV/atom) = -0.14
- magnetization (μB per atom) = 0.00

=====

A plane-wave DFT calculation with PBE was carried out for a relaxed LiCd2Hg crystal.

Cell lengths 3.100, 4.680, 6.101 Å; angles 90.00, 103.91, 90.00 degrees
Space group Pm (No. 6)
Symmetry-distinct sites (fractional):
Li (0.000, 0.000, 0.000) (multiplicity 1)
Cd (0.265, 0.000, 0.520) (multiplicity 1)
Cd (0.665, 0.500, 0.315) (multiplicity 1)
Hg (0.419, 0.500, 0.827) (multiplicity 1)

## Properties
- energy of formation (eV/atom) = -0.16
- magnetization (μB per atom) = 0.00

=====

- Number 11 is which compound?
  Li4CdHg10